Entry from the Alexandria database: a relaxed CaSiHPt2 crystal (PBE).

Structure (extended XYZ):
```
10
Lattice="1.8746 -5.5564 0.0000 1.8746 5.5564 0.0000 0.0000 0.0000 7.2562" Properties=species:S:1:pos:R:3 pbc="T T T"
Ca 1.8746 5.0741 5.4422
Ca 1.8746 -5.0741 1.8141
Si 1.8746 2.9769 1.8141
Si 1.8746 -2.9769 5.4422
H 1.8746 0.0000 0.0000
H 1.8746 0.0000 3.6281
Pt 1.8746 1.7742 4.0227
Pt 1.8746 1.7742 6.8616
Pt 1.8746 -1.7742 0.3946
Pt 1.8746 -1.7742 3.2335
```

Calculated values
**ρ**: 10.09 g/cm3
**Spin magnetization**: 0.0 Bohr magnetons per cell
**Final energy**: -5.42 eV per atom
**Volume**: 15.12 A^3/atom
**Symmetry**: No. 63

Entry from the Alexandria database: a relaxed Ca2SnHPt6 crystal (PBE).

Structure (extended XYZ):
```
10
Lattice="5.6948 0.0000 0.0000 -2.8383 4.9459 0.0000 -2.8406 -1.6440 6.3980" Properties=species:S:1:pos:R:3 pbc="T T T"
Ca 0.0000 0.0000 0.0000
Ca -2.8375 1.6418 4.2122
Sn 0.0075 0.0028 5.4029
H -0.0012 3.3117 0.4409
Pt -1.4375 -0.8438 3.3756
Pt -1.4555 2.4538 1.1313
Pt 0.0088 1.6682 3.3730
Pt 1.4533 -0.8471 3.3822
Pt 1.4614 2.4573 1.1274
Pt 2.8484 0.0511 1.1384
```

Calculated values
**ρ**: 12.63 g/cm3
**Spin magnetization**: 0.0 Bohr magnetons per cell
**Final energy**: -5.40 eV per atom
**Volume**: 18.02 A^3/atom
**Symmetry**: No. 1

Entry from the Alexandria database: a relaxed SrCaH6Pt2 crystal (PBE).

Structure (extended XYZ):
```
20
Lattice="4.7031 -4.2867 0.0000 4.7031 4.2867 0.0000 -2.6002 0.0000 6.3321" Properties=species:S:1:pos:R:3 pbc="T T T"
Sr 2.7529 3.3352 4.7491
Sr 4.0530 -3.3352 1.5830
Ca 4.0530 0.6688 1.5830
Ca 2.7529 -0.6688 4.7491
H 3.2172 2.8120 1.8674
H 0.8270 0.5626 3.8489
H 4.8888 2.8120 1.2986
H 1.8759 1.3145 5.8357
H 2.1271 -0.5626 0.6829
H 3.6299 1.3145 3.6624
H 3.1760 -1.3145 2.6697
H 4.6788 0.5626 5.6492
H 4.9300 -1.3145 0.4963
H 1.9171 -2.8120 5.0334
H 5.9789 -0.5626 2.4831
H 3.5887 -2.8120 4.4647
Pt 0.3249 1.3970 5.2012
Pt 1.6251 -1.3970 2.0352
Pt 5.1809 1.3970 4.2969
Pt 6.4810 -1.3970 1.1309
```

Calculated values
**ρ**: 6.81 g/cm3
**Spin magnetization**: 0.0 Bohr magnetons per cell
**Final energy**: -4.10 eV per atom
**Volume**: 12.77 A^3/atom
**Symmetry**: No. 15

Entry from the Alexandria database: a relaxed Ca2ZnHPt crystal (PBE).

Structure (extended XYZ):
```
5
Lattice="4.9828 0.0000 0.0000 0.0000 4.9828 0.0000 0.0000 0.0000 3.7741" Properties=species:S:1:pos:R:3 pbc="T T T"
Ca 0.0000 2.4914 0.0000
Ca 2.4914 0.0000 0.0000
Zn 0.0000 0.0000 1.8870
H 2.4914 2.4914 0.0000
Pt 2.4914 2.4914 1.8870
```

Calculated values
**ρ**: 6.05 g/cm3
**Spin magnetization**: 0.0 Bohr magnetons per cell
**Final energy**: -3.46 eV per atom
**Volume**: 18.74 A^3/atom
**Symmetry**: No. 123

Entry from the Alexandria database: a relaxed CaZn2HPt crystal (PBE).

Structure (extended XYZ):
```
10
Lattice="1.9754 -5.1270 0.0000 1.9754 5.1270 0.0000 0.0000 0.0000 8.1179" Properties=species:S:1:pos:R:3 pbc="T T T"
Ca 1.9754 4.5530 6.0884
Ca 1.9754 -4.5530 2.0295
Zn 1.9754 1.7835 4.4920
Zn 1.9754 1.7835 7.6848
Zn 1.9754 -1.7835 0.4331
Zn 1.9754 -1.7835 3.6259
H 1.9754 0.0000 0.0000
H 1.9754 0.0000 4.0589
Pt 1.9754 2.8227 2.0295
Pt 1.9754 -2.8227 6.0884
```

Calculated values
**ρ**: 7.41 g/cm3
**Spin magnetization**: 0.0 Bohr magnetons per cell
**Final energy**: -3.27 eV per atom
**Volume**: 16.44 A^3/atom
**Symmetry**: No. 63

Entry from the Alexandria database: a relaxed Ca2ZnHPt crystal (PBE).

Structure (extended XYZ):
```
5
Lattice="4.7483 0.0000 0.0000 0.0000 4.7483 0.0000 0.0000 0.0000 3.9517" Properties=species:S:1:pos:R:3 pbc="T T T"
Ca 0.0000 2.3742 0.0000
Ca 2.3742 0.0000 0.0000
Zn 0.0000 0.0000 1.9758
H 0.0000 0.0000 0.0000
Pt 2.3742 2.3742 1.9758
```

Calculated values
**ρ**: 6.37 g/cm3
**Spin magnetization**: 0.0 Bohr magnetons per cell
**Final energy**: -3.43 eV per atom
**Volume**: 17.82 A^3/atom
**Symmetry**: No. 123

Entry from the Alexandria database: a relaxed CaZnHPt2 crystal (PBE).

Structure (extended XYZ):
```
5
Lattice="5.1446 0.0000 0.0000 0.0000 5.1446 0.0000 0.0000 0.0000 6.0182" Properties=species:S:1:pos:R:3 pbc="T T T"
Ca 0.0000 0.0000 0.0000
Zn 0.0000 0.0000 3.0091
H 2.5723 2.5723 3.0091
Pt 0.0000 2.5723 0.0000
Pt 2.5723 0.0000 0.0000
```

Calculated values
**ρ**: 5.18 g/cm3
**Spin magnetization**: 1.0 Bohr magnetons per cell
**Final energy**: -2.32 eV per atom
**Volume**: 31.86 A^3/atom
**Symmetry**: No. 123

Entry from the Alexandria database: a relaxed CaZr2HPt crystal (PBE).

Structure (extended XYZ):
```
5
Lattice="5.2242 0.0000 0.0000 0.0000 5.2242 0.0000 0.0000 0.0000 4.7718" Properties=species:S:1:pos:R:3 pbc="T T T"
Ca 0.0000 0.0000 0.0000
Zr 0.0000 2.6121 0.0000
Zr 2.6121 0.0000 0.0000
H 2.6121 2.6121 2.3859
Pt 0.0000 0.0000 2.3859
```

Calculated values
**ρ**: 5.34 g/cm3
**Spin magnetization**: 0.8 Bohr magnetons per cell
**Final energy**: -3.81 eV per atom
**Volume**: 26.05 A^3/atom
**Symmetry**: No. 123

Entry from the Alexandria database: a relaxed Ca4PuH10 crystal (PBE).

Structure (extended XYZ):
```
15
Lattice="1.8888 1.0905 15.6672 -1.8888 1.0905 15.6672 0.0000 -2.1810 15.6672" Properties=species:S:1:pos:R:3 pbc="T T T"
Ca 0.0000 0.0000 4.6985
Ca 0.0000 0.0000 14.1011
Ca 0.0000 0.0000 32.9004
Ca 0.0000 0.0000 42.3030
Pu 0.0000 0.0000 23.5008
H 0.0000 0.0000 2.3677
H 0.0000 0.0000 7.0621
H 0.0000 0.0000 11.7599
H 0.0000 0.0000 16.4420
H 0.0000 0.0000 21.2266
H 0.0000 0.0000 25.7749
H 0.0000 0.0000 30.5596
H 0.0000 0.0000 35.2417
H 0.0000 0.0000 39.9394
H 0.0000 0.0000 44.6339
```

Calculated values
**ρ**: 3.55 g/cm3
**Spin magnetization**: 5.9 Bohr magnetons per cell
**Final energy**: -4.24 eV per atom
**Volume**: 12.91 A^3/atom
**Symmetry**: No. 166

Entry from the Alexandria database: a relaxed CaPuH2 crystal (PBE).

Structure (extended XYZ):
```
12
Lattice="3.4780 0.0000 0.0000 -1.7390 3.0121 0.0000 0.0000 0.0000 17.7785" Properties=species:S:1:pos:R:3 pbc="T T T"
Ca 0.0000 0.0000 0.0000
Ca 0.0000 2.0080 11.8523
Ca 1.7390 1.0040 5.9261
Pu 0.0000 0.0000 8.8892
Pu 0.0000 2.0080 2.9631
Pu 1.7390 1.0040 14.8154
H 0.0000 0.0000 4.4700
H 0.0000 0.0000 13.3085
H 0.0000 2.0080 7.3823
H 0.0000 2.0080 16.3223
H 1.7390 1.0040 1.4562
H 1.7390 1.0040 10.3961
```

Calculated values
**ρ**: 7.65 g/cm3
**Spin magnetization**: 20.4 Bohr magnetons per cell
**Final energy**: -5.95 eV per atom
**Volume**: 15.52 A^3/atom
**Symmetry**: No. 166

Entry from the Alexandria database: a relaxed Ca3Pu5H12 crystal (PBE).

Structure (extended XYZ):
```
80
Lattice="-6.6434 6.6434 6.6434 6.6434 -6.6434 6.6434 6.6434 6.6434 -6.6434" Properties=species:S:1:pos:R:3 pbc="T T T"
Ca 3.3217 1.6609 0.0000
Ca 6.6434 3.3217 -1.6609
Ca 1.6609 0.0000 3.3217
Ca 8.3043 0.0000 3.3217
Ca 0.0000 3.3217 1.6609
Ca 3.3217 -1.6609 6.6434
Ca 3.3217 8.3043 0.0000
Ca 6.6434 3.3217 4.9826
Ca -1.6609 6.6434 3.3217
Ca 4.9826 6.6434 3.3217
Ca 0.0000 3.3217 8.3043
Ca 3.3217 4.9826 6.6434
Pu 0.0000 0.0000 0.0000
Pu 3.3217 3.3217 -3.3217
Pu 3.3217 -3.3217 3.3217
Pu 6.6434 0.0000 0.0000
Pu 9.9651 1.6609 0.0000
Pu 6.6434 -3.3217 4.9826
Pu 4.9826 6.6434 -3.3217
Pu 4.9826 0.0000 3.3217
Pu 3.3217 4.9826 0.0000
Pu 6.6434 3.3217 1.6609
Pu -3.3217 3.3217 3.3217
Pu 0.0000 6.6434 0.0000
Pu 0.0000 0.0000 6.6434
Pu 3.3217 3.3217 3.3217
Pu 0.0000 3.3217 4.9826
Pu 3.3217 1.6609 6.6434
Pu 1.6609 6.6434 3.3217
Pu 1.6609 0.0000 9.9651
Pu 0.0000 9.9651 1.6609
Pu -3.3217 4.9826 6.6434
H 2.0661 -0.0389 0.8540
H 7.8991 4.1757 -3.3606
H 8.7095 0.0389 0.8540
H 7.8991 -2.4677 3.3606
H 6.6045 -0.8540 2.0661
H 10.0040 -1.2556 2.4677
H 0.8540 2.0661 -0.0389
H 9.1111 3.2828 -1.2556
H 4.1757 3.3606 -1.2556
H 5.7894 2.0661 0.0389
H -0.0389 0.8540 2.0661
H 3.3606 -1.2556 4.1757
H 6.6045 5.7894 -2.0661
H 3.3606 1.2556 2.4677
H 4.1757 -3.3606 7.8991
H 5.7894 -2.0661 6.6045
H 2.4677 3.3606 1.2556
H 7.4974 4.5774 0.0389
H 3.3606 7.8991 -2.4677
H 6.6045 0.8540 4.5774
H 2.0661 6.6045 -0.8540
H 7.8991 2.4677 3.2828
H 1.2556 2.4677 3.3606
H 2.0661 0.0389 5.7894
H 4.5774 6.6045 0.8540
H 5.3878 4.1757 3.2828
H -1.2556 4.1757 3.3606
H 4.5774 0.0389 7.4974
H 0.0389 5.7894 2.0661
H 3.2828 -1.2556 9.1111
H -0.8540 2.0661 6.6045
H 4.1757 3.2828 5.3878
H 0.8540 8.7095 0.0389
H 2.4677 10.0040 -1.2556
H 3.2828 5.3878 4.1757
H 0.0389 0.8540 8.7095
H 3.2828 7.8991 2.4677
H 6.6823 5.7894 4.5774
H 0.8540 4.5774 6.6045
H 2.4677 3.2828 7.8991
H -2.4677 3.3606 7.8991
H 5.7894 4.5774 6.6823
H -3.3606 7.8991 4.1757
H 0.0389 7.4974 4.5774
H -1.2556 9.1111 3.2828
H -2.0661 6.6045 5.7894
H -1.2556 2.4677 10.0040
H 4.5774 6.6823 5.7894
```

Calculated values
**ρ**: 7.66 g/cm3
**Spin magnetization**: 32.5 Bohr magnetons per cell
**Final energy**: -6.05 eV per atom
**Volume**: 14.66 A^3/atom
**Symmetry**: No. 230

Entry from the Alexandria database: a relaxed CaPuH3 crystal (PBE).

Structure (extended XYZ):
```
5
Lattice="4.2837 0.0000 0.0000 0.0000 4.2837 0.0000 0.0000 0.0000 4.2837" Properties=species:S:1:pos:R:3 pbc="T T T"
Ca 0.0000 0.0000 0.0000
Pu 2.1419 2.1419 2.1419
H 0.0000 2.1419 2.1419
H 2.1419 0.0000 2.1419
H 2.1419 2.1419 0.0000
```

Calculated values
**ρ**: 6.06 g/cm3
**Spin magnetization**: 5.9 Bohr magnetons per cell
**Final energy**: -5.41 eV per atom
**Volume**: 15.72 A^3/atom
**Symmetry**: No. 221